## LiTcAu (meta-GGA SCAN)

Data for a PBEsol-optimized structure of LiTcAu.

D(E_F): 2.95 states/eV/cell
Uncorrected energy: -35.37 eV per atom
DFT formation energy: 0.166 eV/atom
Theoretical density: 11.21 g/cm3
Relative energy among the computed polymorphs: 0 meV/atom

Unit cell a=2.714 b=2.714 c=7.007 alpha=90.00 beta=90.00 gamma=120.00
Positions (direct):
Li (0.333, 0.667, 0.671)
Au (0.000, 0.000, 0.994)
Tc (0.667, 0.333, 0.336)